The following is a DFT calculation (PBE-GGA) of CdReBi2O8 after structural relaxation.

a b c (Å): 5.0293 5.0247 7.0534
angles (deg): 90.00 90.00 91.36
Last column: nearest neighbours and their distance in Å.
Positions (direct):
Bi1 0.5000 0.5000 0.2497  6 O 2.23-2.37
Bi2 0.5000 0.5000 0.7503  6 O 2.23-2.37
O1 0.6937 0.6941 0.5000  1 Cd 2.15, 2 Bi 2.23
O2 0.8208 0.1801 0.8027  1 Re 1.90
O3 0.1792 0.8199 0.8027  1 Re 1.90
Re1 0.0000 0.0000 0.0000  6 O 1.90-1.92
O4 0.2740 0.2733 0.0000  1 Re 1.92
O5 0.3063 0.3059 0.5000  1 Cd 2.15, 2 Bi 2.23
Cd1 0.0000 0.0000 0.5000  2 O 2.15
O6 0.1792 0.8199 0.1973  1 Re 1.90
O7 0.7260 0.7267 0.0000  1 Re 1.92
O8 0.8208 0.1801 0.1973  1 Re 1.90

Values from the calculation:
For the mass density, the calculation gives 7.870 g/cm³. The calculation puts the total energy at -6.284 eV/atom. As for the space group: No. 65. For the energy relative to the elements, uncorrected, the calculation gives -1.22 eV per atom.